# 1
The following is a PBE calculation of a geometry-optimized PmEuYCd structure, from Alexandria via LeMat-Bulk.

Cell and atoms, written as POSCAR:
```
PmEuYCd
1.0
0.000 3.963 3.963
3.963 0.000 3.963
3.963 3.963 0.000
Pm Eu Y Cd
1 1 1 1
Direct
0.000 0.000 0.000
0.250 0.250 0.250
0.750 0.750 0.750
0.500 0.500 0.500
```

Calculated values
Energy, eV per atom: -5.573

=====

# 2
The following is a PBE calculation of a geometry-optimized Tl3Te3Au structure, from Alexandria via LeMat-Bulk.

Cell and atoms, written as POSCAR:
```
Tl3Te3Au
1.0
4.458 -6.878 0.000
4.458 6.878 0.000
-1.079 0.000 8.093
Tl Te Au
6 6 2
Direct
0.185 0.815 0.000
0.224 0.776 0.500
0.389 0.389 0.143
0.611 0.611 0.857
0.776 0.224 0.500
0.815 0.185 0.000
0.077 0.077 0.261
0.174 0.468 0.781
0.468 0.174 0.781
0.532 0.826 0.219
0.826 0.532 0.219
0.923 0.923 0.739
0.204 0.204 0.576
0.796 0.796 0.424
```

Calculated values
Polymorph energy (0 for the lowest one), meV/atom: 48
Energy relative to the elements, uncorrected, eV/atom: -0.1307

=====

# 3
The following is a PBE calculation of a geometry-optimized PIrPtO2 structure, from Alexandria via LeMat-Bulk.

Cell and atoms, written as POSCAR:
```
PIrPtO2
1.0
3.617 0.000 0.000
0.000 3.617 0.000
0.000 0.000 7.937
P Ir Pt O
1 1 1 2
Direct
0.000 0.000 0.000
0.500 0.500 0.000
0.000 0.000 0.500
0.000 0.500 0.500
0.500 0.000 0.500
```

Calculated values
Polymorph energy (0 for the lowest one), meV/atom: 566
Energy relative to the elements, uncorrected, eV/atom: 0.5030

=====

# 4
The following is a PBE calculation of a geometry-optimized DyPPt3 structure, from Alexandria via LeMat-Bulk.

Cell and atoms, written as POSCAR:
```
DyPPt3
1.0
-2.001 2.001 5.499
2.001 -2.001 5.499
2.001 2.001 -5.499
Dy P Pt
1 1 3
Direct
0.000 0.000 0.000
0.622 0.622 0.000
0.238 0.738 0.500
0.418 0.418 0.000
0.738 0.238 0.500
```

Calculated values
Energy, eV per atom: -6.643